# 1
LiAg: optimized geometry, PBEsol. Values from VASP.

Summary:
**E_tot**: -2.82 eV/atom
**Energy relative to the elements**: -0.37 eV per formula unit
**Mass density**: 6.4 g cm⁻³
**M_tot**: 0.000 μB per formula unit

Structure (Quantum ESPRESSO input):
```
&SYSTEM
  ibrav = 0, nat = 2, ntyp = 2
/
ATOMIC_SPECIES
Ag 107.87 Ag.upf
Li 6.94 Li.upf
CELL_PARAMETERS angstrom
3.100 0.000 0.000
0.000 3.100 0.000
0.000 0.000 3.100
ATOMIC_POSITIONS crystal
Ag 0.000 0.000 0.000
Li 0.500 0.500 0.500
```

# 2
HF: optimized geometry, PBEsol. Values from VASP.

Summary:
**E above lowest polymorph**: 0 meV/atom
**E_tot**: -4.25 eV/atom
**Mass density**: 1.9 g cm⁻³
**M_tot**: 0.000 μB per formula unit

Structure (Quantum ESPRESSO input):
```
&SYSTEM
  ibrav = 0, nat = 4, ntyp = 2
/
ATOMIC_SPECIES
H 1.01 H.upf
F 19.00 F.upf
CELL_PARAMETERS angstrom
-2.546 0.394 1.740
-2.670 0.165 -1.585
-0.577 -3.870 0.288
ATOMIC_POSITIONS crystal
H 0.746 0.776 0.451
H 0.776 0.746 0.951
F 0.577 0.944 0.683
F 0.944 0.577 0.183
```

# 3
BaFeOs2: optimized geometry, PBEsol. Values from VASP.

Summary:
**E above lowest polymorph**: 943 meV/atom
**E_tot**: -7.48 eV/atom
**Energy relative to the elements**: 5.64 eV per formula unit
**Mass density**: 13.5 g cm⁻³
**M_tot**: 2.956 μB per formula unit

Structure (Quantum ESPRESSO input):
```
&SYSTEM
  ibrav = 0, nat = 4, ntyp = 3
/
ATOMIC_SPECIES
Ba 137.33 Ba.upf
Fe 55.84 Fe.upf
Os 190.23 Os.upf
CELL_PARAMETERS angstrom
-0.339 -2.716 0.819
3.515 0.832 3.144
-5.073 2.433 1.521
ATOMIC_POSITIONS crystal
Ba 0.500 0.000 0.000
Fe 0.000 0.500 0.000
Os 0.000 0.000 0.500
Os 0.500 0.500 0.500
```

# 4
MnAl3Tc: optimized geometry, PBEsol. Values from VASP.

Summary:
**E_tot**: -5.86 eV/atom
**Energy relative to the elements**: 4.02 eV per formula unit
**Mass density**: 4.7 g cm⁻³
**M_tot**: 2.736 μB per formula unit

Structure (Quantum ESPRESSO input):
```
&SYSTEM
  ibrav = 0, nat = 5, ntyp = 3
/
ATOMIC_SPECIES
Mn 54.94 Mn.upf
Tc 98.00 Tc.upf
Al 26.98 Al.upf
CELL_PARAMETERS angstrom
-2.672 3.067 1.552
-2.985 -1.097 -2.973
-1.703 -2.889 2.776
ATOMIC_POSITIONS crystal
Mn 0.000 0.000 0.000
Tc 0.500 0.500 0.500
Al 0.000 0.500 0.000
Al 0.000 0.000 0.500
Al 0.500 0.000 0.000
```

Q: E_tot of number 2 (HF)?
A: -4.25 eV/atom

Q: Look up the M_tot of the second one.
A: 0.000 μB per formula unit